No. 1
DFT (PBE) results for a relaxed Cu4Pb3F12 crystal.

Values from the calculation:
Volume: 15.03 Å³ per atom

a = 8.2960 Å, b = 8.2960 Å, c = 8.2960 Å
α = 90.00°, β = 90.00°, γ = 90.00°
Closest atoms and distances in Å follow each position.
Space group Im-3 (No. 204)
Symmetry-distinct sites (fractional):
Cu: 0.2500 0.2500 0.2500  6 F 2.12
Pb: 0.0000 0.0000 0.5000  8 F 2.52-2.80
F: 0.0000 0.2999 0.2286  2 Cu 2.12



No. 2
DFT (PBE) results for a relaxed CuPb3F crystal.

Values from the calculation:
Volume: 28.22 Å³ per atom
Excess energy over the best structure of this formula in the dataset: 0.43 eV per formula unit

a = 5.2060 Å, b = 5.2060 Å, c = 5.2060 Å
α = 90.00°, β = 90.00°, γ = 90.00°
Closest atoms and distances in Å follow each position.
Space group Pm-3m (No. 221)
Symmetry-distinct sites (fractional):
Cu: 0.0000 0.0000 0.0000  6 Pb 2.60
Pb: 0.0000 0.0000 0.5000  2 Cu 2.60
F: 0.5000 0.5000 0.5000  12 Pb 3.68



No. 3
DFT (PBE) results for a relaxed Cu2PbF8 crystal.

Values from the calculation:
Volume: 12.38 Å³ per atom
Excess energy over the best structure of this formula in the dataset: 0.99 eV per formula unit

a = 5.1432 Å, b = 5.1432 Å, c = 5.1497 Å
α = 90.00°, β = 90.00°, γ = 90.00°
Closest atoms and distances in Å follow each position.
Space group P4/mmm (No. 123)
Symmetry-distinct sites (fractional):
Cu: 0.0000 0.5000 0.0000  8 F 2.20
Pb: 0.0000 0.0000 0.5000  8 F 2.22
F: 0.2437 0.2437 0.2400  2 Cu 2.20, 1 Pb 2.22



No. 4
DFT (PBE) results for a relaxed CuPbF2 crystal.

Values from the calculation:
Volume: 18.87 Å³ per atom
Excess energy over the best structure of this formula in the dataset: 0.71 eV per formula unit

a = 5.4530 Å, b = 5.4530 Å, c = 10.1532 Å
α = 90.00°, β = 90.00°, γ = 90.00°
Closest atoms and distances in Å follow each position.
Space group I-42d (No. 122)
Symmetry-distinct sites (fractional):
Cu: 0.0000 0.0000 0.0000  4 F 2.08
Pb: 0.0000 0.0000 0.5000  4 F 2.60
F: 0.1681 0.2500 0.1250  2 Cu 2.08



No. 5
DFT (PBE) results for a relaxed CuPb3F crystal.

Values from the calculation:
Volume: 25.74 Å³ per atom
Excess energy over the best structure of this formula in the dataset: 0.00 eV per formula unit

a = 5.0487 Å, b = 5.0487 Å, c = 5.0487 Å
α = 90.00°, β = 90.00°, γ = 90.00°
Closest atoms and distances in Å follow each position.
Space group Pm-3m (No. 221)
Symmetry-distinct sites (fractional):
Cu: 0.0000 0.0000 0.0000  12 Pb 3.57
Pb: 0.0000 0.5000 0.5000  2 F 2.52
F: 0.5000 0.5000 0.5000  6 Pb 2.52



No. 6
DFT (PBE) results for a relaxed CuPbF3 crystal.

Values from the calculation:
Volume: 21.05 Å³ per atom
Excess energy over the best structure of this formula in the dataset: 2.62 eV per formula unit

a = 4.7215 Å, b = 4.7215 Å, c = 4.7215 Å
α = 90.00°, β = 90.00°, γ = 90.00°
Closest atoms and distances in Å follow each position.
Space group Pm-3m (No. 221)
Symmetry-distinct sites (fractional):
Cu: 0.0000 0.0000 0.0000  12 F 3.34
Pb: 0.5000 0.5000 0.5000  6 F 2.36
F: 0.0000 0.5000 0.5000  2 Pb 2.36



No. 7
DFT (PBE) results for a relaxed CuPb2F8 crystal.

Values from the calculation:
Volume: 16.20 Å³ per atom
Excess energy over the best structure of this formula in the dataset: 0.00 eV per formula unit

a = 6.6846 Å, b = 6.6846 Å, c = 4.6047 Å
α = 90.00°, β = 90.00°, γ = 120.00°
Closest atoms and distances in Å follow each position.
Space group P-3m1 (No. 164)
Symmetry-distinct sites (fractional):
Cu: 0.0000 0.0000 0.0000  6 F 1.98
Pb: 0.3333 0.6667 0.2591  5 F 2.20-2.30
F: 0.1440 0.2881 0.2298  1 Cu 1.98, 1 Pb 2.20
F: 0.3333 0.6667 0.7593  2 Pb 2.30



No. 8
DFT (PBE) results for a relaxed CuPdPbF6 crystal.

Values from the calculation:
Volume: 16.64 Å³ per atom

a = 5.2451 Å, b = 5.5350 Å, c = 5.5355 Å
α = 109.95°, β = 94.24°, γ = 94.27°
Closest atoms and distances in Å follow each position.
Space group P1 (No. 1)
Symmetry-distinct sites (fractional):
Cu: 0.0000 0.0000 0.0000  4 F 1.90-2.02
Pd: 0.0003 0.6604 0.3385  4 F 1.99-2.04
Pb: 0.5005 0.3289 0.6700  6 F 2.37-2.57
F: 0.2070 0.6685 0.6580  1 Pd 1.99
F: 0.2093 0.9741 0.3088  1 Cu 2.01, 1 Pd 2.04
F: 0.2427 0.2616 0.9794  1 Cu 1.90
F: 0.7578 0.0192 0.7374  1 Cu 1.90
F: 0.7911 0.6906 0.0254  1 Cu 2.02, 1 Pd 2.04
F: 0.7939 0.3402 0.3298  1 Pd 1.99



No. 9
DFT (PBE) results for a relaxed Cu2PtPbF crystal.

Values from the calculation:
Volume: 25.62 Å³ per atom

a = 5.0103 Å, b = 5.0103 Å, c = 5.1033 Å
α = 90.00°, β = 90.00°, γ = 90.00°
Closest atoms and distances in Å follow each position.
Space group P4/mmm (No. 123)
Symmetry-distinct sites (fractional):
Cu: 0.0000 0.5000 0.0000  2 Pb 2.51
Pt: 0.0000 0.0000 0.5000  2 Pb 2.55
Pb: 0.0000 0.0000 0.0000  4 Cu 2.51, 2 Pt 2.55
F: 0.5000 0.5000 0.5000  4 Pt 3.54, 8 Cu 3.58



No. 10
DFT (PBE) results for a relaxed RbCuPbF6 crystal.

Values from the calculation:
Volume: 17.29 Å³ per atom

a = 7.6645 Å, b = 7.9908 Å, c = 10.1634 Å
α = 90.00°, β = 90.00°, γ = 90.00°
Closest atoms and distances in Å follow each position.
Space group Imma (No. 74)
Symmetry-distinct sites (fractional):
Rb: 0.0000 0.2500 0.0872  9 F 2.93-3.16
Cu: 0.2500 0.2500 0.7500  6 F 1.93-2.00
Pb: 0.0000 0.0000 0.5000  6 F 2.36-2.51
F: 0.0000 0.2500 0.3755  2 Pb 2.36
F: 0.0000 0.2500 0.6952  2 Cu 2.00
F: 0.2245 0.0792 0.8826  1 Cu 1.93



No. 11
DFT (PBE) results for a relaxed Rb2Cu2PbF6 crystal.

Values from the calculation:
Volume: 19.69 Å³ per atom

a = 11.6015 Å, b = 6.2737 Å, c = 7.0306 Å
α = 90.00°, β = 122.19°, γ = 90.00°
Closest atoms and distances in Å follow each position.
Space group C2/m (No. 12)
Symmetry-distinct sites (fractional):
Rb: 0.2211 0.0000 0.1858  5 F 2.83-2.98
Cu: 0.0592 0.5000 0.2164  3 F 1.93-2.03
Pb: 0.0000 0.0000 0.5000  6 F 2.45-2.48
F: 0.0634 0.2589 0.8015  1 Cu 2.03
F: 0.2449 0.0000 0.6300  1 Cu 1.93



No. 12
DFT (PBE) results for a relaxed Rb3CuPb2F9 crystal.

Values from the calculation:
Volume: 19.37 Å³ per atom

a = 6.4887 Å, b = 6.4887 Å, c = 7.9701 Å
α = 90.00°, β = 90.00°, γ = 120.00°
Closest atoms and distances in Å follow each position.
Space group P-3m1 (No. 164)
Symmetry-distinct sites (fractional):
Rb: 0.0000 0.0000 0.0000  12 F 3.24-3.26
Rb: 0.3333 0.6667 0.6610  12 F 3.22-3.29
Cu: 0.0000 0.0000 0.5000  6 F 2.08
Pb: 0.3333 0.6667 0.1884  6 F 2.40-2.42
F: 0.0000 0.5000 0.0000  2 Pb 2.40
F: 0.1508 0.3016 0.3498  1 Cu 2.08



No. 13
DFT (PBE) results for a relaxed Rb3Cu2PbF9 crystal.

Values from the calculation:
Volume: 16.57 Å³ per atom

a = 6.1173 Å, b = 6.1173 Å, c = 7.6682 Å
α = 90.00°, β = 90.00°, γ = 120.00°
Closest atoms and distances in Å follow each position.
Space group P-3m1 (No. 164)
Symmetry-distinct sites (fractional):
Rb: 0.0000 0.0000 0.0000  12 F 3.03-3.06
Rb: 0.3333 0.6667 0.6882  9 F 2.97-3.06
Cu: 0.3333 0.6667 0.1483  6 F 2.05-2.10
Pb: 0.0000 0.0000 0.5000  6 F 2.39
F: 0.0000 0.5000 0.0000  2 Cu 2.10
F: 0.1783 0.3565 0.3082  1 Cu 2.05



No. 14
DFT (PBE) results for a relaxed Cu2RhPbF8 crystal.

Values from the calculation:
Volume: 13.99 Å³ per atom

a = 5.4883 Å, b = 5.4883 Å, c = 11.1456 Å
α = 90.00°, β = 90.00°, γ = 90.00°
Closest atoms and distances in Å follow each position.
Space group I-4 (No. 82)
Symmetry-distinct sites (fractional):
Cu: 0.0000 0.0000 0.0000  4 F 1.95
Cu: 0.0000 0.5000 0.2500  4 F 1.98
Rh: 0.0000 0.0000 0.5000  8 F 2.28-2.31
Pb: 0.0000 0.5000 0.7500  8 F 2.50-2.58
F: 0.1363 0.7858 0.3350  1 Cu 1.98
F: 0.1799 0.2744 0.9325  1 Cu 1.95



No. 15
DFT (PBE) results for a relaxed CuPbSF crystal.

Values from the calculation:
Volume: 17.43 Å³ per atom

a = 3.9684 Å, b = 3.9684 Å, c = 8.8526 Å
α = 90.00°, β = 90.00°, γ = 90.00°
Closest atoms and distances in Å follow each position.
Space group P4/nmm (No. 129, origin choice 2)
Symmetry-distinct sites (fractional):
Cu: 0.2500 0.7500 0.0000  4 S 2.42
Pb: 0.2500 0.2500 0.3211  4 F 2.54
S: 0.2500 0.2500 0.8431  4 Cu 2.42
F: 0.2500 0.7500 0.5000  4 Pb 2.54, 4 F 2.81



No. 16
DFT (PBE) results for a relaxed CuSbPb2F crystal.

Values from the calculation:
Volume: 24.18 Å³ per atom

a = 5.6059 Å, b = 5.6059 Å, c = 3.8474 Å
α = 90.00°, β = 90.00°, γ = 90.00°
Closest atoms and distances in Å follow each position.
Space group P4/mmm (No. 123)
Symmetry-distinct sites (fractional):
Cu: 0.0000 0.0000 0.0000  2 F 1.92
Sb: 0.5000 0.5000 0.5000  8 Pb 3.40
Pb: 0.0000 0.5000 0.0000  2 Cu 2.80
F: 0.0000 0.0000 0.5000  2 Cu 1.92



No. 17
DFT (PBE) results for a relaxed CuPbSeF crystal.

Values from the calculation:
Volume: 18.83 Å³ per atom

a = 4.0635 Å, b = 4.0635 Å, c = 9.1210 Å
α = 90.00°, β = 90.00°, γ = 90.00°
Closest atoms and distances in Å follow each position.
Space group P4/nmm (No. 129, origin choice 2)
Symmetry-distinct sites (fractional):
Cu: 0.2500 0.7500 0.0000  4 Se 2.54
Pb: 0.2500 0.2500 0.3297  4 F 2.56
Se: 0.2500 0.2500 0.8335  4 Cu 2.54
F: 0.2500 0.7500 0.5000  4 Pb 2.56



No. 18
DFT (PBE) results for a relaxed SrCu2PbF8 crystal.

Values from the calculation:
Volume: 15.21 Å³ per atom

a = 5.7370 Å, b = 5.7370 Å, c = 11.0882 Å
α = 90.00°, β = 90.00°, γ = 90.00°
Closest atoms and distances in Å follow each position.
Space group I-4 (No. 82)
Symmetry-distinct sites (fractional):
Sr: 0.0000 0.0000 0.0000  8 F 2.48-2.60
Cu: 0.0000 0.0000 0.5000  4 F 1.92
Cu: 0.0000 0.5000 0.2500  4 F 1.92
Pb: 0.0000 0.5000 0.7500  8 F 2.51-2.63
F: 0.1327 0.7876 0.1949  1 Cu 1.92
F: 0.1389 0.2867 0.5533  1 Cu 1.92



No. 19
DFT (PBE) results for a relaxed TaCuPbF2 crystal.

Values from the calculation:
Volume: 18.80 Å³ per atom

a = 3.9523 Å, b = 3.9523 Å, c = 6.0178 Å
α = 90.00°, β = 90.00°, γ = 90.00°
Closest atoms and distances in Å follow each position.
Space group P4/mmm (No. 123)
Symmetry-distinct sites (fractional):
Ta: 0.0000 0.0000 0.0000  4 Pb 2.79
Cu: 0.5000 0.5000 0.5000  4 F 1.98
Pb: 0.5000 0.5000 0.0000  4 Ta 2.79, 2 Cu 3.01
F: 0.0000 0.5000 0.5000  2 Cu 1.98



No. 20
DFT (PBE) results for a relaxed TlCuPbF2 crystal.

Values from the calculation:
Volume: 19.84 Å³ per atom

a = 4.3182 Å, b = 4.3182 Å, c = 5.3193 Å
α = 90.00°, β = 90.00°, γ = 90.00°
Closest atoms and distances in Å follow each position.
Space group P4/mmm (No. 123)
Symmetry-distinct sites (fractional):
Tl: 0.0000 0.0000 0.0000  2 Cu 2.66
Cu: 0.0000 0.0000 0.5000  4 F 2.16
Pb: 0.5000 0.5000 0.0000  4 Tl 3.05
F: 0.0000 0.5000 0.5000  2 Cu 2.16



No. 21
DFT (PBE) results for a relaxed Tl2CuPbF6 crystal.

Values from the calculation:
Volume: 18.24 Å³ per atom

a = 6.0780 Å, b = 6.0961 Å, c = 6.4519 Å
α = 116.62°, β = 117.71°, γ = 90.14°
Closest atoms and distances in Å follow each position.
Space group P-1 (No. 2)
Symmetry-distinct sites (fractional):
Tl: 0.2416 0.2654 0.0024  5 F 2.72-2.99
Cu: 0.0000 0.5000 0.5000  4 F 1.94
Pb: 0.5000 0.0000 0.5000  6 F 2.43-2.47
F: 0.1807 0.7853 0.5309  1 Cu 1.94
F: 0.2133 0.7151 0.0136  1 Pb 2.43, 1 Cu 2.55, 2 Tl 2.72
F: 0.2763 0.3374 0.5074  1 Cu 1.94



No. 22
DFT (PBE) results for a relaxed Tl3Cu2PbF9 crystal.

Values from the calculation:
Volume: 16.68 Å³ per atom

a = 6.0914 Å, b = 6.0914 Å, c = 7.7852 Å
α = 90.00°, β = 90.00°, γ = 120.00°
Closest atoms and distances in Å follow each position.
Space group P-3m1 (No. 164)
Symmetry-distinct sites (fractional):
Tl: 0.0000 0.0000 0.0000  12 F 3.00-3.05
Tl: 0.3333 0.6667 0.7063  9 F 2.88-3.05
Cu: 0.3333 0.6667 0.1511  6 F 2.03-2.12
Pb: 0.0000 0.0000 0.5000  6 F 2.42
F: 0.0000 0.5000 0.0000  2 Cu 2.12
F: 0.1765 0.3530 0.3024  1 Cu 2.03



Number 1: uncorrected formation energy -1.81 eV per atom, mass density 6.4 g cm⁻³. Number 2: uncorrected formation energy -0.07 eV per atom, mass density 8.3 g cm⁻³. Number 3: uncorrected formation energy -1.49 eV per atom, mass density 5.9 g cm⁻³. Number 4: uncorrected formation energy -1.08 eV per atom, mass density 6.8 g cm⁻³. Number 5: uncorrected formation energy -0.16 eV per atom, mass density 9.1 g cm⁻³. Number 6: uncorrected formation energy -1.28 eV per atom, mass density 5.2 g cm⁻³. Number 7: uncorrected formation energy -1.84 eV per atom, mass density 5.9 g cm⁻³. Number 8: uncorrected formation energy -1.65 eV per atom, mass density 5.4 g cm⁻³. Number 9: uncorrected formation energy 0.92 eV per atom, mass density 7.1 g cm⁻³. Number 10: uncorrected formation energy -2.09 eV per atom, mass density 5.0 g cm⁻³. Number 11: uncorrected formation energy -1.98 eV per atom, mass density 4.7 g cm⁻³. Number 12: uncorrected formation energy -2.35 eV per atom, mass density 5.2 g cm⁻³. Number 13: uncorrected formation energy -2.21 eV per atom, mass density 5.1 g cm⁻³. Number 14: uncorrected formation energy -1.53 eV per atom, mass density 5.8 g cm⁻³. Number 15: uncorrected formation energy -1.06 eV per atom, mass density 7.7 g cm⁻³. Number 16: uncorrected formation energy -0.31 eV per atom, mass density 8.5 g cm⁻³. Number 17: uncorrected formation energy -1.05 eV per atom, mass density 8.1 g cm⁻³. Number 18: uncorrected formation energy -2.31 eV per atom, mass density 5.2 g cm⁻³. Number 19: uncorrected formation energy -0.12 eV per atom, mass density 8.7 g cm⁻³. Number 20: uncorrected formation energy -0.76 eV per atom, mass density 8.6 g cm⁻³. Number 21: uncorrected formation energy -1.87 eV per atom, mass density 7.2 g cm⁻³. Number 22: uncorrected formation energy -1.79 eV per atom, mass density 7.4 g cm⁻³.